Density functional theory data (PBE) for crystalline Er2Ge2O5 at its relaxed geometry.

## Properties
As for the total magnetization: 0.002 Bohr magnetons per cell. For the calculated density, the calculation gives 7.67 g/cm³. As for the energy above the most stable polymorph in this dataset: 0 meV/atom.

```
9
Lattice="-0.198 5.005 -7.730 -3.513 -0.800 -0.428 -0.904 2.939 1.926" Properties=species:S:1:pos:R:3 pbc="T T T"
O -0.478 2.120 -0.041
O -1.782 0.250 -1.218
O -2.307 3.572 -3.116
O -1.928 3.955 -6.940
O -0.624 5.824 -5.763
Ge -0.099 2.503 -3.865
Ge 0.000 0.000 0.000
Er -2.259 2.347 -1.224
Er -2.356 4.797 -5.008
```